--- i ---
SmDy2Ho | PBE-GGA | optimized geometry

CIF file:
```
data_SmDy2Ho
_cell_length_a 3.556
_cell_length_b 3.556
_cell_length_c 10.069
_cell_angle_alpha 90.00
_cell_angle_beta 90.00
_cell_angle_gamma 90.00
_symmetry_space_group_name_H-M 'P 4/m m m'
_symmetry_Int_Tables_number 123
_symmetry_space_group_name_Hall '-P 4 2'
loop_
_atom_site_label
_atom_site_type_symbol
_atom_site_fract_x
_atom_site_fract_y
_atom_site_fract_z
Sm1 Sm 0.000 0.000 0.000
Dy1 Dy 0.500 0.500 0.253
Ho1 Ho 0.000 0.000 0.500
```

The calculation puts the density of states at the Fermi level at 4.97 states/eV/cell.

***

--- ii ---
SmDy2Ho | PBE-GGA | optimized geometry

CIF file:
```
data_SmDy2Ho
_cell_length_a 3.5798
_cell_length_b 3.5798
_cell_length_c 34.5330
_cell_angle_alpha 90.00
_cell_angle_beta 90.00
_cell_angle_gamma 120.00
_symmetry_space_group_name_H-M 'R 3 m'
_symmetry_Int_Tables_number 160
_symmetry_space_group_name_Hall 'R 3 -2"'
loop_
_atom_site_label
_atom_site_type_symbol
_atom_site_fract_x
_atom_site_fract_y
_atom_site_fract_z
Sm1 Sm 0.0000 0.0000 0.0000
Dy1 Dy 0.0000 0.0000 0.5818
Dy2 Dy 0.0000 0.0000 0.7505
Ho1 Ho 0.0000 0.0000 0.1661
```

The calculation puts the density of states at the Fermi level at 17.06 states/eV/cell.

***

Most stable structure, least stable structure: ii, i.

***

--- i ---
Sm5DyHo | PBE-GGA | optimized geometry

CIF file:
```
data_Sm5DyHo
_cell_length_a 8.025
_cell_length_b 11.790
_cell_length_c 6.196
_cell_angle_alpha 90.00
_cell_angle_beta 90.00
_cell_angle_gamma 90.00
_symmetry_space_group_name_H-M 'I m m 2'
_symmetry_Int_Tables_number 44
loop_
_symmetry_equiv_pos_as_xyz
'x,y,z'
'-x,-y,z'
'-x,y,z'
'x,-y,z'
'x+1/2,y+1/2,z+1/2'
'-x+1/2,-y+1/2,z+1/2'
'-x+1/2,y+1/2,z+1/2'
'x+1/2,-y+1/2,z+1/2'
loop_
_atom_site_label
_atom_site_type_symbol
_atom_site_fract_x
_atom_site_fract_y
_atom_site_fract_z
Sm1 Sm 0.000 0.000 0.000
Sm2 Sm 0.000 0.247 0.734
Sm3 Sm 0.178 0.500 0.236
Dy1 Dy 0.000 0.000 0.471
Ho1 Ho 0.000 0.500 0.738
```

The calculation puts the density of states at the Fermi level at 19.66 states/eV/cell.

***

--- ii ---
Sm5DyHo | PBE-GGA | optimized geometry

CIF file:
```
data_Sm5DyHo
_cell_length_a 6.983
_cell_length_b 10.373
_cell_length_c 7.002
_cell_angle_alpha 90.00
_cell_angle_beta 108.06
_cell_angle_gamma 90.00
_symmetry_space_group_name_H-M 'C 1 2/m 1'
_symmetry_Int_Tables_number 12
loop_
_symmetry_equiv_pos_as_xyz
'x,y,z'
'-x,-y,-z'
'-x,y,-z'
'x,-y,z'
'x+1/2,y+1/2,z'
'-x+1/2,-y+1/2,-z'
'-x+1/2,y+1/2,-z'
'x+1/2,-y+1/2,z'
loop_
_atom_site_label
_atom_site_type_symbol
_atom_site_fract_x
_atom_site_fract_y
_atom_site_fract_z
Sm1 Sm 0.000 0.000 0.000
Sm2 Sm 0.192 0.285 0.731
Dy1 Dy 0.000 0.000 0.500
Ho1 Ho 0.000 0.500 0.000
```

The calculation puts the density of states at the Fermi level at 17.09 states/eV/cell.

***

Most stable structure, least stable structure: ii, i.

***

--- i ---
SmDy7Ho12 | PBE-GGA | optimized geometry

CIF file:
```
data_SmDy7Ho12
_cell_length_a 12.7582
_cell_length_b 12.7582
_cell_length_c 13.5671
_cell_angle_alpha 90.00
_cell_angle_beta 90.00
_cell_angle_gamma 120.00
_symmetry_space_group_name_H-M 'R -3'
_symmetry_Int_Tables_number 148
_symmetry_space_group_name_Hall '-R 3'
loop_
_atom_site_label
_atom_site_type_symbol
_atom_site_fract_x
_atom_site_fract_y
_atom_site_fract_z
Sm1 Sm 0.0000 0.0000 0.0000
Dy1 Dy 0.0000 0.0000 0.5000
Dy2 Dy 0.0683 0.2012 0.8487
Ho1 Ho 0.0020 0.5657 0.2488
Ho2 Ho 0.0682 0.8682 0.3470
```

The calculation puts the density of states at the Fermi level at 52.05 states/eV/cell.

***

--- ii ---
SmDy7Ho12 | PBE-GGA | optimized geometry

CIF file:
```
data_SmDy7Ho12
_cell_length_a 11.209
_cell_length_b 11.209
_cell_length_c 11.209
_cell_angle_alpha 90.00
_cell_angle_beta 90.00
_cell_angle_gamma 90.00
_symmetry_space_group_name_H-M 'I m -3'
_symmetry_Int_Tables_number 204
_symmetry_space_group_name_Hall '-I 2 2 3'
loop_
_atom_site_label
_atom_site_type_symbol
_atom_site_fract_x
_atom_site_fract_y
_atom_site_fract_z
Sm1 Sm 0.000 0.000 0.000
Dy1 Dy 0.000 0.000 0.500
Dy2 Dy 0.250 0.250 0.250
Ho1 Ho 0.000 0.253 0.252
```

The calculation puts the density of states at the Fermi level at 47.49 states/eV/cell.

***

Most stable structure, least stable structure: i, ii.

***

--- i ---
Sm3Dy2Ho5 | PBE-GGA | optimized geometry

CIF file:
```
data_Sm3Dy2Ho5
_cell_length_a 10.669
_cell_length_b 15.832
_cell_length_c 9.407
_cell_angle_alpha 90.00
_cell_angle_beta 124.42
_cell_angle_gamma 90.00
_symmetry_space_group_name_H-M 'C 1 2/c 1'
_symmetry_Int_Tables_number 15
loop_
_symmetry_equiv_pos_as_xyz
'x,y,z'
'-x,-y,-z'
'-x,y,-z+1/2'
'x,-y,z+1/2'
'x+1/2,y+1/2,z'
'-x+1/2,-y+1/2,-z'
'-x+1/2,y+1/2,-z+1/2'
'x+1/2,-y+1/2,z+1/2'
loop_
_atom_site_label
_atom_site_type_symbol
_atom_site_fract_x
_atom_site_fract_y
_atom_site_fract_z
Sm1 Sm 0.000 0.233 0.250
Sm2 Sm 0.144 0.124 0.047
Dy1 Dy 0.153 0.381 0.547
Ho1 Ho 0.000 0.026 0.250
Ho2 Ho 0.000 0.272 0.750
Ho3 Ho 0.000 0.471 0.750
Ho4 Ho 0.240 0.386 0.230
```

The calculation puts the density of states at the Fermi level at 73.77 states/eV/cell.

***

--- ii ---
Sm3Dy2Ho5 | PBE-GGA | optimized geometry

CIF file:
```
data_Sm3Dy2Ho5
_cell_length_a 12.863
_cell_length_b 16.791
_cell_length_c 6.297
_cell_angle_alpha 90.00
_cell_angle_beta 90.00
_cell_angle_gamma 90.00
_symmetry_space_group_name_H-M 'I b a m'
_symmetry_Int_Tables_number 72
_symmetry_space_group_name_Hall '-I 2 2c'
loop_
_atom_site_label
_atom_site_type_symbol
_atom_site_fract_x
_atom_site_fract_y
_atom_site_fract_z
Sm1 Sm 0.000 0.000 0.250
Sm2 Sm 0.158 0.247 0.000
Dy1 Dy 0.103 0.156 0.500
Ho1 Ho 0.000 0.500 0.250
Ho2 Ho 0.099 0.344 0.500
Ho3 Ho 0.248 0.500 0.250
```

The calculation puts the density of states at the Fermi level at 69.37 states/eV/cell.

***

Most stable structure, least stable structure: i, ii.